Compound: AgPd
Source: Alexandria
Functional: PBE-GGA
Structure: optimized geometry

Output
**Fermi-level density of states**: 19.21 states/eV per cell
**ΔH_f (0 K)**: 2.16 eV/f.u.
**Symmetry**: Pm-3n (223)

a = 7.4133 Å, b = 7.4133 Å, c = 7.4133 Å
α = 90.00°, β = 90.00°, γ = 90.00°
Atoms (fractional coordinates):
Ag 0.0000 0.2500 0.5000
Ag 0.0000 0.7500 0.5000
Ag 0.2500 0.5000 0.0000
Ag 0.5000 0.0000 0.2500
Ag 0.5000 0.0000 0.7500
Ag 0.7500 0.5000 0.0000
Pd 0.0000 0.5000 0.2500
Pd 0.0000 0.5000 0.7500
Pd 0.2500 0.0000 0.5000
Pd 0.5000 0.2500 0.0000
Pd 0.5000 0.7500 0.0000
Pd 0.7500 0.0000 0.5000